# 1
NaSr2Ag2: single point on PBEsol structure, SCAN.

## Properties
polymorph energy (0 for the lowest one)	16.3	kJ per mole of atoms
energy of formation	-0.074	eV/atom

a b c (Å): 6.0633 6.2106 6.0633
angles (deg): 60.78 90.00 119.22
With the nearest neighbours (Å) after each atom.
Atoms (fractional coordinates):
Na: 0.0000 0.0000 0.0000  2 Ag 3.17
Sr: 0.7500 0.5000 0.7500  4 Ag 3.17
Sr: 0.2500 0.5000 0.2500  4 Ag 3.17
Ag: 0.3533 0.7066 0.6467  1 Ag 2.64
Ag: 0.6467 0.2934 0.3533  1 Ag 2.64

=====

# 2
AlPb2IO: single point on PBEsol structure, SCAN.

## Properties
formation energy from raw total energies	-0.4339	eV/atom

a b c (Å): 3.5798 5.9205 5.9205
angles (deg): 90.00 90.00 90.00
With the nearest neighbours (Å) after each atom.
Atoms (fractional coordinates):
Al: 0.5000 0.0000 0.0000  2 O 1.79
Pb: 0.0000 0.0000 0.5000  2 O 2.96
Pb: 0.0000 0.5000 0.0000  2 O 2.96
I: 0.5000 0.5000 0.5000  8 Pb 3.46, 2 I 3.58
O: 0.0000 0.0000 0.0000  2 Al 1.79

=====

# 3
Nd5Te2Cl3O10: single point on PBEsol structure, SCAN.

## Properties
formation energy from raw total energies	-2.8673	eV/atom

a b c (Å): 5.6117 6.9133 10.0625
angles (deg): 90.54 90.00 113.94
With the nearest neighbours (Å) after each atom.
Atoms (fractional coordinates):
Te: 0.9177 0.8354 0.3321  3 O 1.85-1.92
Te: 0.0823 0.1646 0.6679  3 O 1.85-1.92
Nd: 0.0000 0.0000 0.0000  8 O 2.40-2.56
Nd: 0.7082 0.4164 0.8936  4 O 2.31-2.37
Nd: 0.2918 0.5836 0.1064  4 O 2.31-2.37
Nd: 0.3980 0.7960 0.7670  5 O 2.25-2.44
Nd: 0.6020 0.2040 0.2330  5 O 2.25-2.44
O: 0.7037 0.8948 0.2040  1 Te 1.92
O: 0.7745 0.5489 0.2918  1 Te 1.85
O: 0.2963 0.1052 0.7960  1 Te 1.92
O: 0.6003 0.7075 0.9411  4 Nd 2.31-2.40
O: 0.8928 0.2925 0.0589  4 Nd 2.31-2.40
O: 0.1072 0.7075 0.9411  4 Nd 2.31-2.40
O: 0.3997 0.2925 0.0589  4 Nd 2.31-2.40
O: 0.8089 0.1052 0.7960  1 Te 1.92
O: 0.1911 0.8948 0.2040  1 Te 1.92
O: 0.2255 0.4511 0.7082  1 Te 1.85
Cl: 0.5000 0.0000 0.5000  2 Nd 2.99
Cl: 0.8415 0.6830 0.6498  3 Nd 2.99-3.12, 2 Te 3.05-3.35, 6 O 3.22-3.33
Cl: 0.1585 0.3170 0.3502  3 Nd 2.99-3.12, 2 Te 3.05-3.35, 6 O 3.22-3.33

=====

# 4
CuBW3: single point on PBEsol structure, SCAN.

## Properties
energy of formation	2.782	eV/atom

a b c (Å): 4.3953 4.3953 4.3953
angles (deg): 90.00 90.00 90.00
With the nearest neighbours (Å) after each atom.
Atoms (fractional coordinates):
B: 0.5000 0.5000 0.5000  12 W 3.11
W: 0.0000 0.5000 0.0000  2 Cu 2.20
W: 0.0000 0.0000 0.5000  2 Cu 2.20
W: 0.5000 0.0000 0.0000  2 Cu 2.20
Cu: 0.0000 0.0000 0.0000  6 W 2.20

=====

# 5
InP2H6NO8: single point on PBEsol structure, SCAN.

## Properties
VASP energy	-163.5	eV/f.u.

a b c (Å): 8.4259 9.3946 9.8334
angles (deg): 117.60 90.00 90.00
With the nearest neighbours (Å) after each atom.
Atoms (fractional coordinates):
H: 0.2278 0.6199 0.7260  1 N 1.04
H: 0.8871 0.0865 0.2061  1 O 1.01
H: 0.3027 0.5681 0.0004  1 O 1.03
H: 0.8881 0.5500 0.3693  1 N 1.05
H: 0.8028 0.4561 0.4622  1 N 1.04
H: 0.3028 0.0439 0.5378  1 N 1.04
H: 0.5408 0.8688 0.3375  1 N 1.04
H: 0.2722 0.1199 0.7260  1 N 1.04
H: 0.6973 0.4319 0.9996  1 O 1.03
H: 0.3881 0.9500 0.6307  1 N 1.05
H: 0.7722 0.3801 0.2740  1 N 1.04
H: 0.1119 0.4500 0.6307  1 N 1.05
H: 0.1129 0.9135 0.7939  1 O 1.01
H: 0.1973 0.0681 0.0004  1 O 1.03
H: 0.0408 0.6312 0.6625  1 N 1.04
H: 0.6119 0.0500 0.3693  1 N 1.05
H: 0.6129 0.5865 0.2061  1 O 1.01
H: 0.8027 0.9319 0.9996  1 O 1.03
H: 0.4592 0.1312 0.6625  1 N 1.04
H: 0.7278 0.8801 0.2740  1 N 1.04
H: 0.1972 0.5439 0.5378  1 N 1.04
H: 0.3871 0.4135 0.7939  1 O 1.01
H: 0.6972 0.9561 0.4622  1 N 1.04
H: 0.9592 0.3688 0.3375  1 N 1.04
P: 0.4415 0.6495 0.4008  4 O 1.53-1.58
P: 0.6925 0.1420 0.9942  4 O 1.52-1.61
P: 0.1925 0.3580 0.0058  4 O 1.52-1.61
P: 0.0585 0.1495 0.4008  4 O 1.53-1.58
P: 0.8075 0.6420 0.9942  4 O 1.52-1.61
P: 0.3075 0.8580 0.0058  4 O 1.52-1.61
P: 0.5585 0.3505 0.5992  4 O 1.53-1.58
P: 0.9415 0.8505 0.5992  4 O 1.53-1.58
O: 0.7708 0.2619 0.9476  1 P 1.55, 1 H 1.56
O: 0.1519 0.2423 0.3333  1 P 1.53
O: 0.8557 0.0008 0.6141  1 P 1.53
O: 0.7292 0.7619 0.9476  1 P 1.55, 1 H 1.56
O: 0.1443 0.9992 0.3859  1 P 1.53
O: 0.8916 0.7488 0.1463  1 P 1.53
O: 0.6443 0.5008 0.6141  1 P 1.53
O: 0.3557 0.4992 0.3859  1 P 1.53
O: 0.6072 0.6046 0.3158  1 H 1.01
O: 0.9803 0.7348 0.4304  1 P 1.54
O: 0.2292 0.7381 0.0524  1 P 1.55, 1 H 1.56
O: 0.6670 0.5502 0.0331  1 H 1.03
O: 0.4803 0.7652 0.5696  1 P 1.54
O: 0.8481 0.7577 0.6667  1 P 1.53
O: 0.2708 0.2381 0.0524  1 P 1.55, 1 H 1.56
O: 0.8330 0.0502 0.0331  1 H 1.03
O: 0.9071 0.5142 0.8674  1 P 1.52
O: 0.1084 0.2512 0.8537  1 P 1.53
O: 0.0197 0.2652 0.5696  1 P 1.54
O: 0.6519 0.2577 0.6667  1 P 1.53
O: 0.0929 0.4858 0.1326  1 P 1.52
O: 0.8928 0.1046 0.3158  1 H 1.01
O: 0.3481 0.7423 0.3333  1 P 1.53
O: 0.1670 0.9498 0.9669  1 H 1.03
O: 0.1072 0.8954 0.6842  1 H 1.01
O: 0.5929 0.0142 0.8674  1 P 1.52
O: 0.3330 0.4498 0.9669  1 H 1.03
O: 0.6084 0.2488 0.1463  1 P 1.53
O: 0.5197 0.2348 0.4304  1 P 1.54
O: 0.3928 0.3954 0.6842  1 H 1.01
O: 0.4071 0.9858 0.1326  1 P 1.52
O: 0.3916 0.7512 0.8537  1 P 1.53
N: 0.3569 0.0625 0.6403  4 H 1.04-1.05
N: 0.8569 0.4375 0.3597  4 H 1.04-1.05
N: 0.1431 0.5625 0.6403  4 H 1.04-1.05
N: 0.6431 0.9375 0.3597  4 H 1.04-1.05
In: 0.1125 0.7450 0.2512  6 O 2.12-2.16
In: 0.6125 0.7550 0.7488  6 O 2.12-2.16
In: 0.3875 0.2450 0.2512  6 O 2.12-2.16
In: 0.8875 0.2550 0.7488  6 O 2.12-2.16

=====

# 6
Na2NbPt: single point on PBEsol structure, SCAN.

## Properties
polymorph energy (0 for the lowest one)	12.3	kJ per mole of atoms
energy of formation	0.750	eV/atom

a b c (Å): 4.7490 4.7490 4.7490
angles (deg): 60.00 60.00 60.00
With the nearest neighbours (Å) after each atom.
Atoms (fractional coordinates):
Na: 0.7500 0.7500 0.7500  4 Pt 2.91, 4 Nb 2.91
Na: 0.2500 0.2500 0.2500  4 Nb 2.91, 4 Pt 2.91
Pt: 0.5000 0.5000 0.5000  8 Na 2.91
Nb: 0.0000 0.0000 0.0000  8 Na 2.91

=====

# 7
MoRhBr2: single point on PBEsol structure, SCAN.

## Properties
formation energy from raw total energies	0.2744	eV/atom

a b c (Å): 3.0550 3.3735 8.7337
angles (deg): 101.14 100.07 90.00
With the nearest neighbours (Å) after each atom.
Atoms (fractional coordinates):
Mo: 0.4245 0.4245 0.8490  2 Rh 2.32
Br: 0.7252 0.2252 0.4503  4 Rh 2.89, 2 Br 3.06
Br: 0.0199 0.0199 0.0398  4 Mo 2.79, 2 Br 3.06
Rh: 0.3304 0.8304 0.6608  2 Mo 2.32

=====

# 8
Na2CaMgP2O8: single point on PBEsol structure, SCAN.

## Properties
formation energy from raw total energies	-2.8478	eV/atom

a b c (Å): 5.1828 9.1094 13.4394
angles (deg): 91.51 90.00 90.00
With the nearest neighbours (Å) after each atom.
Atoms (fractional coordinates):
O: 0.4534 0.6677 0.1199  1 P 1.57
O: 0.6787 0.0786 0.4096  1 P 1.56
O: 0.3987 0.3436 0.4564  1 P 1.55
O: 0.1854 0.5769 0.3976  1 P 1.55
O: 0.4649 0.1446 0.0814  1 P 1.55
O: 0.1013 0.3436 0.9564  1 P 1.55
O: 0.9534 0.3323 0.3801  1 P 1.57
O: 0.5351 0.8554 0.9186  1 P 1.55
O: 0.8987 0.6564 0.0436  1 P 1.55
O: 0.6854 0.4231 0.1024  1 P 1.55
O: 0.0466 0.6677 0.6199  1 P 1.57
O: 0.5120 0.1743 0.6218  1 P 1.55
O: 0.6013 0.6564 0.5436  1 P 1.55
O: 0.1465 0.3868 0.7744  1 P 1.53
O: 0.0120 0.8257 0.8782  1 P 1.55
O: 0.7013 0.9367 0.7538  1 P 1.53
O: 0.2013 0.0633 0.7462  1 P 1.53
O: 0.8146 0.4231 0.6024  1 P 1.55
O: 0.5466 0.3323 0.8801  1 P 1.57
O: 0.3146 0.5769 0.8976  1 P 1.55
O: 0.4880 0.8257 0.3782  1 P 1.55
O: 0.7987 0.9367 0.2538  1 P 1.53
O: 0.8213 0.0786 0.9096  1 P 1.56
O: 0.1787 0.9214 0.0904  1 P 1.56
O: 0.8535 0.6132 0.2256  1 P 1.53
O: 0.3213 0.9214 0.5904  1 P 1.56
O: 0.6465 0.6132 0.7256  1 P 1.53
O: 0.2987 0.0633 0.2462  1 P 1.53
O: 0.0351 0.1446 0.5814  1 P 1.55
O: 0.3535 0.3868 0.2744  1 P 1.53
O: 0.9649 0.8554 0.4186  1 P 1.55
O: 0.9880 0.1743 0.1218  1 P 1.55
Ca: 0.3142 0.7824 0.7506  6 O 2.33-2.60
Ca: 0.1858 0.7824 0.2506  6 O 2.33-2.60
Ca: 0.8142 0.2176 0.7494  6 O 2.33-2.60
Ca: 0.6858 0.2176 0.2494  6 O 2.33-2.60
P: 0.2702 0.0775 0.6359  4 O 1.53-1.56
P: 0.2764 0.4103 0.8762  4 O 1.53-1.57
P: 0.2298 0.0775 0.1359  4 O 1.53-1.56
P: 0.7298 0.9225 0.3641  4 O 1.53-1.56
P: 0.7764 0.5897 0.6238  4 O 1.53-1.57
P: 0.2236 0.4103 0.3762  4 O 1.53-1.57
P: 0.7702 0.9225 0.8641  4 O 1.53-1.56
P: 0.7236 0.5897 0.1238  4 O 1.53-1.57
Mg: 0.2625 0.7432 0.4953  6 O 2.02-2.14
Mg: 0.7375 0.2568 0.5047  6 O 2.02-2.14
Mg: 0.7625 0.2568 0.0047  6 O 2.02-2.14
Mg: 0.2375 0.7432 0.9953  6 O 2.02-2.14
Na: 0.7186 0.9118 0.0857  5 O 2.30-2.56
Na: 0.2826 0.4218 0.6171  3 O 2.26-2.43
Na: 0.2814 0.0882 0.9143  5 O 2.30-2.56
Na: 0.2186 0.0882 0.4143  5 O 2.30-2.56
Na: 0.7174 0.5782 0.3829  3 O 2.26-2.43
Na: 0.7814 0.9118 0.5857  5 O 2.30-2.56
Na: 0.7826 0.5782 0.8829  3 O 2.26-2.43
Na: 0.2174 0.4218 0.1171  3 O 2.26-2.43